# 1
SrBrCl2 | GGA-PBE | optimized geometry

Cell and atoms, written as CIF:
```
data_SrBrCl2
_chemical_formula_sum 'Sr1 Br1 Cl2'
_cell_length_a 3.597
_cell_length_b 3.597
_cell_length_c 10.953
_cell_angle_alpha 90.00
_cell_angle_beta 90.00
_cell_angle_gamma 90.00
_symmetry_space_group_name_H-M 'P 4/m m m'
_symmetry_Int_Tables_number 123
_symmetry_space_group_name_Hall '-P 4 2'
loop_
_atom_site_label
_atom_site_fract_x
_atom_site_fract_y
_atom_site_fract_z
Sr1 0.000 0.000 0.000
Br1 0.000 0.000 0.500
Cl1 0.500 0.500 0.148
```

Properties
As for the uncorrected formation energy: -1459.3 meV per atom. The calculation puts the total energy at -12.89 eV per cell. Its density of states at the Fermi level is 4.57 states/eV per cell. The calculation puts the relative energy among the computed polymorphs at 176.1 meV per atom. The volume is 35.423 A^3/atom.

# 2
HgSbPb3 | GGA-PBE | optimized geometry

Cell and atoms, written as CIF:
```
data_HgSbPb3
_chemical_formula_sum 'Hg2 Sb2 Pb6'
_cell_length_a 4.927
_cell_length_b 5.450
_cell_length_c 11.448
_cell_angle_alpha 90.00
_cell_angle_beta 102.34
_cell_angle_gamma 90.00
_symmetry_space_group_name_H-M 'P 1 21/m 1'
_symmetry_Int_Tables_number 11
_symmetry_space_group_name_Hall '-P 2yb'
loop_
_atom_site_label
_atom_site_fract_x
_atom_site_fract_y
_atom_site_fract_z
Hg1 0.154 0.250 0.308
Sb1 0.353 0.250 0.703
Pb1 0.053 0.750 0.100
Pb2 0.252 0.750 0.502
Pb3 0.439 0.750 0.880
```

Properties
As for the uncorrected formation energy: 20.8 meV per atom. The calculation puts the total energy at -30.89 eV per cell. Its density of states at the Fermi level is 4.42 states/eV per cell. The calculation puts the relative energy among the computed polymorphs at 0.0 meV per atom. The volume is 30.027 A^3/atom.

# 3
Cs2Li2CuF7 | GGA-PBE | optimized geometry

Cell and atoms, written as CIF:
```
data_Cs2Li2CuF7
_chemical_formula_sum 'Cs4 Li4 Cu2 F14'
_cell_length_a 6.018
_cell_length_b 7.078
_cell_length_c 10.190
_cell_angle_alpha 90.00
_cell_angle_beta 98.26
_cell_angle_gamma 90.00
_symmetry_space_group_name_H-M 'C 1 2/m 1'
_symmetry_Int_Tables_number 12
_symmetry_space_group_name_Hall '-C 2y'
loop_
_atom_site_label
_atom_site_fract_x
_atom_site_fract_y
_atom_site_fract_z
Cs1 0.222 0.000 0.357
Li1 0.177 0.500 0.160
Cu1 0.000 0.000 0.000
F1 0.000 0.500 0.000
F2 0.058 0.171 0.878
F3 0.203 0.500 0.346
```

Properties
As for the uncorrected formation energy: -2260.4 meV per atom. The calculation puts the total energy at -99.71 eV per cell. Its density of states at the Fermi level is 10.36 states/eV per cell. The volume is 17.896 A^3/atom.

# 4
ScWAu | GGA-PBE | optimized geometry

Cell and atoms, written as CIF:
```
data_ScWAu
_chemical_formula_sum 'Sc2 W2 Au2'
_cell_length_a 2.854
_cell_length_b 2.854
_cell_length_c 13.199
_cell_angle_alpha 90.00
_cell_angle_beta 90.00
_cell_angle_gamma 90.00
_symmetry_space_group_name_H-M 'I 4 m m'
_symmetry_Int_Tables_number 107
_symmetry_space_group_name_Hall 'I 4 -2'
loop_
_atom_site_label
_atom_site_fract_x
_atom_site_fract_y
_atom_site_fract_z
Sc1 0.000 0.000 0.000
W1 0.000 0.000 0.332
Au1 0.000 0.000 0.671
```

Properties
The calculation puts the total energy at -45.15 eV per cell. For the calculated formation energy, the calculation gives -0.4 kJ per mole of atoms. Its density of states at the Fermi level is 2.90 states/eV per cell. The calculation puts the relative energy among the computed polymorphs at 0.0 meV per atom. The volume is 17.924 A^3/atom.

# 5
AlZnSCl2 | GGA-PBE | optimized geometry

Cell and atoms, written as CIF:
```
data_AlZnSCl2
_chemical_formula_sum 'Al1 Zn1 S1 Cl2'
_cell_length_a 4.638
_cell_length_b 4.638
_cell_length_c 4.842
_cell_angle_alpha 90.00
_cell_angle_beta 90.00
_cell_angle_gamma 90.00
_symmetry_space_group_name_H-M 'P 4/m m m'
_symmetry_Int_Tables_number 123
_symmetry_space_group_name_Hall '-P 4 2'
loop_
_atom_site_label
_atom_site_fract_x
_atom_site_fract_y
_atom_site_fract_z
Al1 0.000 0.000 0.000
Zn1 0.500 0.500 0.500
S1 0.000 0.000 0.500
Cl1 0.000 0.500 0.000
```

Properties
As for the uncorrected formation energy: -506.6 meV per atom. The calculation puts the total energy at -15.37 eV per cell. Its density of states at the Fermi level is 1.73 states/eV per cell. The calculation puts the relative energy among the computed polymorphs at 0.0 meV per atom. The volume is 20.829 A^3/atom.

# 6
VPdCl3 | GGA-PBE | optimized geometry

Cell and atoms, written as CIF:
```
data_VPdCl3
_chemical_formula_sum 'V1 Pd1 Cl3'
_cell_length_a 4.796
_cell_length_b 4.796
_cell_length_c 4.796
_cell_angle_alpha 90.00
_cell_angle_beta 90.00
_cell_angle_gamma 90.00
_symmetry_space_group_name_H-M 'P m -3 m'
_symmetry_Int_Tables_number 221
_symmetry_space_group_name_Hall '-P 4 2 3'
loop_
_atom_site_label
_atom_site_fract_x
_atom_site_fract_y
_atom_site_fract_z
V1 0.000 0.000 0.000
Pd1 0.500 0.500 0.500
Cl1 0.000 0.000 0.500
```

Properties
As for the uncorrected formation energy: -335.2 meV per atom. The calculation puts the total energy at -21.53 eV per cell. Its density of states at the Fermi level is 10.21 states/eV per cell. The calculation puts the relative energy among the computed polymorphs at 0.0 meV per atom. The volume is 22.069 A^3/atom.

# 7
Sr2TcAs | GGA-PBE | optimized geometry

Cell and atoms, written as CIF:
```
data_Sr2TcAs
_chemical_formula_sum 'Sr6 Tc3 As3'
_cell_length_a 3.8015
_cell_length_b 3.8015
_cell_length_c 27.5939
_cell_angle_alpha 90.00
_cell_angle_beta 90.00
_cell_angle_gamma 120.00
_symmetry_space_group_name_H-M 'R -3 m'
_symmetry_Int_Tables_number 166
_symmetry_space_group_name_Hall '-R 3 2"'
loop_
_atom_site_label
_atom_site_fract_x
_atom_site_fract_y
_atom_site_fract_z
Sr1 0.0000 0.0000 0.2461
Tc1 0.0000 0.0000 0.0000
As1 0.0000 0.0000 0.5000
```

Properties
The calculation puts the total energy at -49.64 eV per cell. For the calculated formation energy, the calculation gives 44.2 kJ per mole of atoms. Its density of states at the Fermi level is 14.58 states/eV per cell. The volume is 28.779 A^3/atom.

# 8
In2Sn3HgBr8 | GGA-PBE | optimized geometry

Cell and atoms, written as CIF:
```
data_In2Sn3HgBr8
_chemical_formula_sum 'In6 Sn9 Hg3 Br24'
_cell_length_a 8.6862
_cell_length_b 8.6862
_cell_length_c 27.7182
_cell_angle_alpha 90.00
_cell_angle_beta 90.00
_cell_angle_gamma 120.00
_symmetry_space_group_name_H-M 'R 3 m'
_symmetry_Int_Tables_number 160
_symmetry_space_group_name_Hall 'R 3 -2"'
loop_
_atom_site_label
_atom_site_fract_x
_atom_site_fract_y
_atom_site_fract_z
In1 0.0000 0.0000 0.0000
In2 0.0000 0.0000 0.3438
Sn1 0.1700 0.3401 0.1993
Hg1 0.0000 0.0000 0.7211
Br1 0.0000 0.0000 0.1360
Br2 0.0000 0.0000 0.5940
Br3 0.0198 0.5099 0.1437
Br4 0.1716 0.3433 0.9400
```

Properties
As for the uncorrected formation energy: -648.1 meV per atom. The calculation puts the total energy at -120.73 eV per cell. Its density of states at the Fermi level is 0.00 states/eV per cell. The volume is 43.122 A^3/atom.

# 9
CdInPS | GGA-PBE | optimized geometry

Cell and atoms, written as CIF:
```
data_CdInPS
_chemical_formula_sum 'Cd2 In2 P2 S2'
_cell_length_a 7.271
_cell_length_b 4.198
_cell_length_c 7.288
_cell_angle_alpha 90.00
_cell_angle_beta 109.43
_cell_angle_gamma 90.00
_symmetry_space_group_name_H-M 'C 1 m 1'
_symmetry_Int_Tables_number 8
_symmetry_space_group_name_Hall 'C -2y'
loop_
_atom_site_label
_atom_site_fract_x
_atom_site_fract_y
_atom_site_fract_z
Cd1 0.000 0.000 0.000
In1 0.005 0.500 0.511
P1 0.377 0.500 0.628
S1 0.380 0.000 0.138
```

Properties
As for the uncorrected formation energy: -418.5 meV per atom. The calculation puts the total energy at -29.73 eV per cell. The volume is 26.226 A^3/atom.

# 10
InSiAsSe2 | GGA-PBE | optimized geometry

Cell and atoms, written as CIF:
```
data_InSiAsSe2
_chemical_formula_sum 'In1 Si1 As1 Se2'
_cell_length_a 4.911
_cell_length_b 4.911
_cell_length_c 4.889
_cell_angle_alpha 90.00
_cell_angle_beta 90.00
_cell_angle_gamma 90.00
_symmetry_space_group_name_H-M 'P 4/m m m'
_symmetry_Int_Tables_number 123
_symmetry_space_group_name_Hall '-P 4 2'
loop_
_atom_site_label
_atom_site_fract_x
_atom_site_fract_y
_atom_site_fract_z
In1 0.000 0.000 0.000
Si1 0.500 0.500 0.500
As1 0.500 0.500 0.000
Se1 0.000 0.500 0.500
```

Properties
As for the uncorrected formation energy: 205.1 meV per atom. The calculation puts the total energy at -18.75 eV per cell. Its density of states at the Fermi level is 4.93 states/eV per cell. The calculation puts the relative energy among the computed polymorphs at 0.0 meV per atom. The volume is 23.579 A^3/atom.

Which formula does entry 6 have?
VPdCl3